This record from Alexandria describes an optimized crystal structure of Pm2CdIn. The functional is PBE.

Output
V: 28.43 A^3/atom
Calculated density: 7.55 g cm⁻³
E above lowest polymorph: 0 meV per atom
Crystal system: cubic
Energy of formation: -0.42 eV per atom

Unit cell a=7.691 b=7.691 c=7.691 alpha=90.00 beta=90.00 gamma=90.00
Space group Fm-3m (No. 225)
Unique sites:
Pm 0.250 0.250 0.250
Cd 0.000 0.000 0.000
In 0.000 0.000 0.500